# 1
The following is a DFT calculation (PBE-GGA) of a geometry-optimized MgBrO2 structure.

Cell: 6.587 3.308 6.229 Å, 87.30 60.04 78.83°
Fractional coordinates of all 8 atoms:
O 0.376 0.636 0.233
O 0.260 0.170 0.632
O 0.749 0.979 0.368
Br 0.032 0.086 0.975
Mg 0.145 0.221 0.371
O 0.886 0.827 0.497
Br 0.604 0.721 0.890
Mg 0.490 0.586 0.493

Computed properties:
**Crystal system**: triclinic
**ΔE_f (raw)**: -1.121 eV/atom
**DOS(E_F)**: 0.00 states/eV/f.u.
**ΔE to the lowest computed polymorph**: 93 meV per atom

# 2
The following is a DFT calculation (PBE-GGA) of a geometry-optimized TaSi structure.

Cell: 4.397 4.397 4.995 Å, 90.00 90.00 120.00°
Fractional coordinates of all 4 atoms:
Ta 0.333 0.667 0.750
Ta 0.667 0.333 0.250
Si 0.667 0.333 0.750
Si 0.333 0.667 0.250

Computed properties:
**Crystal system**: hexagonal
**ΔE_f (raw)**: 0.246 eV/atom
**DOS(E_F)**: 1.93 states/eV/f.u.

Please write out number 1 again, unchanged.
The following is a DFT calculation (PBE-GGA) of a geometry-optimized MgBrO2 structure.

Cell: 6.587 3.308 6.229 Å, 87.30 60.04 78.83°
Fractional coordinates of all 8 atoms:
O 0.376 0.636 0.233
O 0.260 0.170 0.632
O 0.749 0.979 0.368
Br 0.032 0.086 0.975
Mg 0.145 0.221 0.371
O 0.886 0.827 0.497
Br 0.604 0.721 0.890
Mg 0.490 0.586 0.493

Computed properties:
**Crystal system**: triclinic
**ΔE_f (raw)**: -1.121 eV/atom
**DOS(E_F)**: 0.00 states/eV/f.u.
**ΔE to the lowest computed polymorph**: 93 meV per atom

Q: What is the DOS(E_F) in the second record?
A: 1.93 states/eV/f.u.